A plane-wave DFT calculation with PBE was carried out for a relaxed NbTc2 crystal.

a b c (Å): 5.163 5.163 5.163
angles (deg): 60.00 60.00 60.00
Fractional coordinates of all 6 atoms:
Tc: 0.625 0.625 0.125
Tc: 0.125 0.625 0.625
Tc: 0.625 0.625 0.625
Tc: 0.625 0.125 0.625
Nb: 0.250 0.250 0.250
Nb: 0.000 0.000 0.000

Summary:
**Spin magnetization**: 0.000 μB per atom
**Formation energy from the elements**: -21 kJ/mol of formula units
**Excess energy over the best structure of this formula in the dataset**: 0.0 meV/atom